Density functional theory data (PBE) for a relaxed structure of CsSn2Ir2.

Lattice parameters (Å, degrees): 4.0616 4.0616 17.5043 90.00 90.00 90.00
With the nearest neighbours (Å) after each atom.
Space group I4/mmm (No. 139)
Symmetry-distinct sites (fractional):
Cs 0.0000 0.0000 0.0000 [2 per cell]  8 Sn 3.90, 4 Cs 4.06
Sn 0.0000 0.0000 0.3488 [4 per cell]  4 Ir 2.67
Ir 0.0000 0.5000 0.2500 [4 per cell]  4 Sn 2.67, 4 Ir 2.87

Results
The calculation puts the energy of formation at -0.097 eV per atom. The calculation puts the excess energy over the best structure of this formula in the dataset at 0.0 meV per atom. As for the density of states at the Fermi level: 2.21 states/eV/f.u. For the total magnetization, the calculation gives 0.00 μB per cell. As for the raw total energy: -27.06 eV/f.u.